Below is a relaxed NpPt2Rh crystal, with properties calculated at the PBE level.

abc: 4.6617 4.6617 4.6624
angles: 60.00 60.00 60.00
Positions (direct):
Np  0.5000  0.5000  0.5000
Rh  0.0000  0.0000  0.0000
Pt  0.2500  0.2500  0.2500
Pt  0.7500  0.7500  0.7500

**Energy of formation**: -0.300 eV/atom

Below is a relaxed NpPt2Rh crystal, with properties calculated at the PBE level.

abc: 3.9858 3.9862 5.2026
angles: 112.53 112.52 90.00
Positions (direct):
Np  0.5000  0.5000  0.0000
Pt  0.2500  0.7500  0.5000
Pt  0.7500  0.2500  0.5000
Rh  0.0000  0.0000  0.0000

**Energy of formation**: -0.502 eV/atom

Below is a relaxed NpPt8Rh2 crystal, with properties calculated at the PBE level.

abc: 4.0160 6.3588 7.5139
angles: 104.90 105.50 90.00
Positions (direct):
Np  0.5000  0.0000  0.0000
Pt  0.5938  0.4498  0.1876
Pt  0.3158  0.0862  0.6315
Pt  0.1375  0.1873  0.2749
Pt  0.0492  0.7247  0.0984
Pt  0.8625  0.8127  0.7251
Pt  0.6842  0.9138  0.3685
Pt  0.4062  0.5502  0.8124
Pt  0.9508  0.2753  0.9016
Rh  0.2258  0.6299  0.4516
Rh  0.7742  0.3701  0.5484

**Energy of formation**: -0.212 eV/atom

Below is a relaxed Np2PtRh9 crystal, with properties calculated at the PBE level.

abc: 3.9771 3.9771 11.9101
angles: 90.00 90.00 90.00
Positions (direct):
Np  0.0000  0.0000  0.3286
Np  0.0000  0.0000  0.6714
Pt  0.0000  0.0000  0.0000
Rh  0.5000  0.5000  0.0000
Rh  0.5000  0.5000  0.3301
Rh  0.5000  0.5000  0.6699
Rh  0.5000  0.0000  0.1625
Rh  0.5000  0.0000  0.5000
Rh  0.5000  0.0000  0.8375
Rh  0.0000  0.5000  0.1625
Rh  0.0000  0.5000  0.5000
Rh  0.0000  0.5000  0.8375

**Energy of formation**: -0.258 eV/atom

Number 1: size of the total moment 3.4 μB/f.u., final energy -8.3936 eV/atom. Number 2: size of the total moment 2.2 μB/f.u., final energy -8.5957 eV/atom. Number 3: size of the total moment 1.0 μB/f.u., final energy -7.1188 eV/atom. Number 4: size of the total moment 2.6 μB/f.u., final energy -8.4322 eV/atom.